Entry 1:
AsP2W: optimized geometry, PBE.

Unit cell a=3.126 b=4.095 c=4.819 alpha=90.00 beta=90.00 gamma=90.00
Space group Pmmm (No. 47)
Inequivalent atoms, fractional coordinates:
As: 0.000 0.000 0.000 x1
P: 0.000 0.500 0.500 x1
P: 0.500 0.500 0.000 x1
W: 0.500 0.000 0.500 x1

Properties
- E_form: 61.53 kJ/mol of atoms
- VASP energy: -6.4679 eV/atom
- Total magnetization: 0.00 μB per atom
- Crystal system: orthorhombic

=====

Entry 2:
AsP2W: optimized geometry, PBE.

Unit cell a=6.208 b=6.208 c=6.208 alpha=90.00 beta=90.00 gamma=90.00
Space group F-43m (No. 216)
Inequivalent atoms, fractional coordinates:
As: 0.000 0.000 0.000 x4
P: 0.000 0.000 0.500 x4
P: 0.250 0.250 0.250 x4
W: 0.250 0.250 0.750 x4

Properties
- E_form: 54.75 kJ/mol of atoms
- VASP energy: -6.5382 eV/atom
- Total magnetization: 0.00 μB per atom
- Crystal system: cubic

=====

Entry 3:
AsP2W: optimized geometry, PBE.

Unit cell a=5.614 b=5.614 c=10.749 alpha=90.00 beta=90.00 gamma=90.00
Space group I-42d (No. 122)
Inequivalent atoms, fractional coordinates:
As: 0.000 0.000 0.000 x4
P: 0.231 0.250 0.625 x8
W: 0.000 0.000 0.500 x4

Properties
- E_form: 37.21 kJ/mol of atoms
- VASP energy: -6.7199 eV/atom
- Total magnetization: 0.00 μB per atom
- Crystal system: tetragonal

=====

Entry 4:
AsP2W: optimized geometry, PBE.

Unit cell a=3.226 b=4.583 c=9.083 alpha=90.00 beta=90.00 gamma=90.00
Space group Cmm2 (No. 35)
Inequivalent atoms, fractional coordinates:
As: 0.000 0.000 0.000 x2
P: 0.000 0.000 0.552 x2
P: 0.000 0.500 0.251 x2
W: 0.000 0.500 0.752 x2

Properties
- E_form: 54.18 kJ/mol of atoms
- VASP energy: -6.5441 eV/atom
- Total magnetization: 0.00 μB per atom
- Crystal system: orthorhombic

=====

Entry 5:
AsP2W: optimized geometry, PBE.

Unit cell a=3.459 b=4.572 c=7.609 alpha=90.00 beta=90.00 gamma=90.00
Space group Immm (No. 71)
Inequivalent atoms, fractional coordinates:
As: 0.000 0.000 0.000 x2
P: 0.000 0.500 0.271 x4
W: 0.000 0.000 0.500 x2

Properties
- E_form: 51.24 kJ/mol of atoms
- VASP energy: -6.5746 eV/atom
- Total magnetization: 0.00 μB per atom
- Crystal system: orthorhombic

=====

Entry 6:
AsPW: optimized geometry, PBE.

Unit cell a=3.2119 b=3.2119 c=5.5478 alpha=90.00 beta=90.00 gamma=120.00
Space group P3m1 (No. 156)
Inequivalent atoms, fractional coordinates:
As: 0.0000 0.0000 0.0000 x1
P: 0.3333 0.6667 0.3847 x1
W: 0.6667 0.3333 0.6718 x1

Properties
- E_form: -3.33 kJ/mol of atoms
- VASP energy: -7.7054 eV/atom
- Total magnetization: 0.00 μB per atom
- Crystal system: trigonal
- ΔE to the lowest computed polymorph: 0 meV/atom

=====

Entry 7:
AsP2W: optimized geometry, PBE.

Unit cell a=3.092 b=3.092 c=7.302 alpha=90.00 beta=90.00 gamma=90.00
Space group P4mm (No. 99)
Inequivalent atoms, fractional coordinates:
As: 0.000 0.000 0.000 x1
P: 0.000 0.000 0.591 x1
P: 0.500 0.500 0.423 x1
W: 0.500 0.500 0.769 x1

Properties
- E_form: 10.15 kJ/mol of atoms
- VASP energy: -7.0004 eV/atom
- Total magnetization: 0.00 μB per atom
- Crystal system: tetragonal

=====

Entry 8:
AsPW: optimized geometry, PBE.

Unit cell a=3.316 b=4.627 c=14.270 alpha=90.00 beta=90.00 gamma=90.00
Space group Fmm2 (No. 42)
Inequivalent atoms, fractional coordinates:
As: 0.000 0.000 0.000 x4
P: 0.000 0.000 0.274 x4
W: 0.000 0.000 0.648 x4

Properties
- E_form: 28.96 kJ/mol of atoms
- VASP energy: -7.3707 eV/atom
- Total magnetization: 0.00 μB per atom
- Crystal system: orthorhombic
- ΔE to the lowest computed polymorph: 335 meV/atom